# PtF4, optimized geometry, DFT GGA-PBEsol
data_PtF4
_chemical_formula_sum 'Pt2 F8'
_cell_length_a 5.476
_cell_length_b 5.558
_cell_length_c 5.558
_cell_angle_alpha 62.76
_cell_angle_beta 74.03
_cell_angle_gamma 105.97
_symmetry_space_group_name_H-M 'P 1'
_symmetry_Int_Tables_number 1
loop_
_symmetry_equiv_pos_as_xyz
'x,y,z'
loop_
_atom_site_label
_atom_site_fract_x
_atom_site_fract_y
_atom_site_fract_z
F1 0.765 0.005 0.174
F2 0.735 0.490 0.189
F3 0.265 0.076 0.245
F4 0.235 0.061 0.760
F5 0.766 0.485 0.690
F6 0.734 0.969 0.707
F7 0.266 0.560 0.765
F8 0.234 0.543 0.281
Pt1 0.000 0.254 0.746
Pt2 0.500 0.504 0.996
# Magnetic moment: 0.00 μB per cell
# Density: 7.05 g/cm3
# E_form (uncorrected): -1.23 eV/atom
# SG: Fdd2